[1]
{"formula": "KRu2", "functional": "GGA-PBE", "state": "relaxed", "mass_density_g_cm3": 5.73, "formation_enthalpy_0k_kj_per_mol_atoms": 66.5, "final_energy_ev_per_atom": -5.86, "magmom_total_mub_per_cell": 0.00, "lattice": [[5.2963, 0.0000, 0.0000], [0.0000, 3.9376, 0.0000], [-1.1004, 0.0000, 6.7048]], "species": ["K", "K", "Ru", "Ru", "Ru", "Ru"], "frac_coords": [[0.2378, 0.2500, 0.4298], [0.7622, 0.7500, 0.5702], [0.1110, 0.2500, 0.9292], [0.3888, 0.7500, 0.0622], [0.6112, 0.2500, 0.9378], [0.8890, 0.7500, 0.0708]]}

[2]
{"formula": "Rb2NaAlBr6", "functional": "GGA-PBE", "state": "relaxed", "mass_density_g_cm3": 3.24, "final_energy_ev_per_atom": -3.16, "magmom_total_mub_per_cell": 0.00, "lattice": [[7.6121, 0.0000, 0.0000], [-3.8060, 6.5922, 0.0000], [0.0000, 0.0000, 7.1460]], "species": ["Rb", "Rb", "Na", "Al", "Br", "Br", "Br", "Br", "Br", "Br"], "frac_coords": [[0.3333, 0.6667, 0.3265], [0.6667, 0.3333, 0.6735], [0.0000, 0.0000, 0.0000], [0.0000, 0.0000, 0.5000], [0.1572, 0.3144, 0.7070], [0.1572, 0.8428, 0.7070], [0.3144, 0.1572, 0.2930], [0.6856, 0.8428, 0.7070], [0.8428, 0.1572, 0.2930], [0.8428, 0.6856, 0.2930]]}

[3]
{"formula": "PmSm4Sb2", "functional": "GGA-PBE", "state": "relaxed", "mass_density_g_cm3": 6.84, "final_energy_ev_per_atom": -4.40, "magmom_total_mub_per_cell": 0.58, "lattice": [[-2.6694, 2.6694, 8.4303], [2.6694, -2.6694, 8.4303], [2.6694, 2.6694, -8.4303]], "species": ["Pm", "Sm", "Sm", "Sm", "Sm", "Sb", "Sb"], "frac_coords": [[0.0000, 0.0000, 0.0000], [0.0000, 0.5000, 0.5000], [0.1839, 0.1839, 0.0000], [0.5000, 0.0000, 0.5000], [0.8161, 0.8161, 0.0000], [0.3667, 0.3667, 0.0000], [0.6333, 0.6333, 0.0000]]}

[4]
{"formula": "MnAs2Ru", "functional": "GGA-PBE", "state": "relaxed", "mass_density_g_cm3": 9.24, "relative_energy_mev_per_atom": 141, "formation_enthalpy_0k_kj_per_mol_atoms": 3.6, "final_energy_ev_per_atom": -6.90, "magmom_total_mub_per_cell": 0.00, "lattice": [[0.0000, 3.0180, 3.0180], [3.0180, 0.0000, 3.0180], [3.0180, 3.0180, 0.0000]], "species": ["Mn", "As", "As", "Ru"], "frac_coords": [[0.0000, 0.0000, 0.0000], [0.2500, 0.2500, 0.2500], [0.7500, 0.7500, 0.7500], [0.5000, 0.5000, 0.5000]]}

[5]
{"formula": "BaGe4Pd2", "functional": "GGA-PBE", "state": "relaxed", "mass_density_g_cm3": 6.30, "formation_enthalpy_0k_kj_per_mol_atoms": -40.2, "final_energy_ev_per_atom": -4.81, "magmom_total_mub_per_cell": 0.00, "lattice": [[4.8159, -3.6900, 0.0000], [4.8159, 3.6900, 0.0000], [-3.9797, 0.0000, 4.7511]], "species": ["Ba", "Ge", "Ge", "Ge", "Ge", "Pd", "Pd"], "frac_coords": [[0.0000, 0.0000, 0.0000], [0.2424, 0.7576, 0.5000], [0.2426, 0.2426, 0.7424], [0.7574, 0.7574, 0.2576], [0.7576, 0.2424, 0.5000], [0.4998, 0.4998, 0.2499], [0.5002, 0.5002, 0.7501]]}

[6]
{"formula": "Os3Br5", "functional": "GGA-PBE", "state": "relaxed", "mass_density_g_cm3": 7.92, "relative_energy_mev_per_atom": 0, "final_energy_ev_per_atom": -4.35, "magmom_total_mub_per_cell": 0.20, "lattice": [[2.7424, -7.2607, 0.0000], [2.7424, 7.2607, 0.0000], [-0.7514, 0.0000, 10.2153]], "species": ["Os", "Os", "Os", "Os", "Os", "Os", "Br", "Br", "Br", "Br", "Br", "Br", "Br", "Br", "Br", "Br"], "frac_coords": [[0.0000, 0.0000, 0.0000], [0.0448, 0.5410, 0.2080], [0.4179, 0.9582, 0.5899], [0.5391, 0.5391, 0.4136], [0.5410, 0.0448, 0.2080], [0.9582, 0.4179, 0.5899], [0.0442, 0.0442, 0.7646], [0.1857, 0.8428, 0.0170], [0.2327, 0.8935, 0.3783], [0.4081, 0.6316, 0.5971], [0.4406, 0.6485, 0.2225], [0.5529, 0.5529, 0.9326], [0.6316, 0.4081, 0.5971], [0.6485, 0.4406, 0.2225], [0.8428, 0.1857, 0.0170], [0.8935, 0.2327, 0.3783]]}

[7]
{"formula": "CaMn2Cu", "functional": "GGA-PBE", "state": "relaxed", "mass_density_g_cm3": 4.89, "formation_enthalpy_0k_kj_per_mol_atoms": 46.6, "final_energy_ev_per_atom": -5.63, "magmom_total_mub_per_cell": 7.26, "lattice": [[3.0142, 0.0000, 0.0000], [0.0000, 4.3114, 0.0000], [-1.3799, 0.0000, 5.5744]], "species": ["Ca", "Mn", "Mn", "Cu"], "frac_coords": [[0.0000, 0.0000, 0.0000], [0.3177, 0.5000, 0.6974], [0.6823, 0.5000, 0.3026], [0.5000, 0.0000, 0.5000]]}

[8]
{"formula": "ZnTe2N", "functional": "GGA-PBE", "state": "relaxed", "mass_density_g_cm3": 5.07, "relative_energy_mev_per_atom": 29, "final_energy_ev_per_atom": -3.35, "magmom_total_mub_per_cell": 0.00, "lattice": [[2.1677, 1.2515, 6.7367], [-2.1677, 1.2515, 6.7367], [0.0000, -2.5030, 6.7367]], "species": ["Zn", "Te", "Te", "N"], "frac_coords": [[0.0000, 0.0000, 0.0000], [0.4046, 0.4046, 0.4046], [0.5954, 0.5954, 0.5954], [0.5000, 0.5000, 0.5000]]}

[9]
{"formula": "LaCo", "functional": "GGA-PBE", "state": "relaxed", "mass_density_g_cm3": 7.44, "formation_enthalpy_0k_kj_per_mol_atoms": 7.6, "final_energy_ev_per_atom": -5.94, "magmom_total_mub_per_cell": 0.00, "lattice": [[0.0000, 4.5519, 5.4760], [3.5408, 0.0000, 5.4760], [3.5408, 4.5519, 0.0000]], "species": ["La", "La", "La", "La", "Co", "Co", "Co", "Co"], "frac_coords": [[0.0899, 0.6601, 0.0899], [0.3399, 0.9101, 0.3399], [0.6601, 0.0899, 0.6601], [0.9101, 0.3399, 0.9101], [0.2014, 0.5486, 0.5486], [0.4514, 0.7986, 0.7986], [0.5486, 0.2014, 0.2014], [0.7986, 0.4514, 0.4514]]}

[10]
{"formula": "Mg4Si3", "functional": "GGA-PBE", "state": "relaxed", "mass_density_g_cm3": 2.15, "relative_energy_mev_per_atom": 101, "final_energy_ev_per_atom": -3.17, "magmom_total_mub_per_cell": 0.00, "lattice": [[5.1889, 0.0000, 0.0000], [-0.9088, 7.8213, 0.0000], [-1.6033, -4.0658, 6.9062]], "species": ["Mg", "Mg", "Mg", "Mg", "Mg", "Mg", "Mg", "Mg", "Si", "Si", "Si", "Si", "Si", "Si"], "frac_coords": [[0.0000, 0.0000, 0.0000], [0.0202, 0.5711, 0.6503], [0.0979, 0.4987, 0.0617], [0.1370, 0.9495, 0.3801], [0.3753, 0.3925, 0.3603], [0.4575, 0.0880, 0.8643], [0.4844, 0.8270, 0.0717], [0.5241, 0.3879, 0.7517], [0.5711, 0.7167, 0.7218], [0.6209, 0.8582, 0.5112], [0.6623, 0.5831, 0.2112], [0.6841, 0.1555, 0.4123], [0.8334, 0.3175, 0.2383], [0.9793, 0.1836, 0.7052]]}

[11]
{"formula": "Ce2Ga12Pt", "functional": "GGA-PBE", "state": "relaxed", "mass_density_g_cm3": 7.47, "formation_enthalpy_0k_kj_per_mol_atoms": -43.4, "final_energy_ev_per_atom": -4.07, "magmom_total_mub_per_cell": 1.79, "lattice": [[6.1359, 0.0000, 0.0000], [0.0000, 6.1359, 0.0000], [0.0000, 0.0000, 15.4869]], "species": ["Ce", "Ce", "Ce", "Ce", "Ga", "Ga", "Ga", "Ga", "Ga", "Ga", "Ga", "Ga", "Ga", "Ga", "Ga", "Ga", "Ga", "Ga", "Ga", "Ga", "Ga", "Ga", "Ga", "Ga", "Ga", "Ga", "Ga", "Ga", "Pt", "Pt"], "frac_coords": [[0.2500, 0.7500, 0.2432], [0.2500, 0.7500, 0.7568], [0.7500, 0.2500, 0.2432], [0.7500, 0.2500, 0.7568], [0.0002, 0.9998, 0.0904], [0.9998, 0.0002, 0.9096], [0.9998, 0.4998, 0.0904], [0.0002, 0.5002, 0.9096], [0.0804, 0.5804, 0.4297], [0.0804, 0.9196, 0.5703], [0.2500, 0.2500, 0.1874], [0.2500, 0.2500, 0.3443], [0.2500, 0.2500, 0.6557], [0.2500, 0.2500, 0.8126], [0.4196, 0.5804, 0.5703], [0.4196, 0.9196, 0.4297], [0.5002, 0.0002, 0.0904], [0.4998, 0.9998, 0.9096], [0.4998, 0.5002, 0.0904], [0.5002, 0.4998, 0.9096], [0.5804, 0.0804, 0.5703], [0.5804, 0.4196, 0.4297], [0.7500, 0.7500, 0.1874], [0.7500, 0.7500, 0.3443], [0.7500, 0.7500, 0.6557], [0.7500, 0.7500, 0.8126], [0.9196, 0.0804, 0.4297], [0.9196, 0.4196, 0.5703], [0.2500, 0.7500, 0.0000], [0.7500, 0.2500, 0.0000]]}

[12]
{"formula": "KNa2Sr", "functional": "GGA-PBE", "state": "relaxed", "mass_density_g_cm3": 1.40, "relative_energy_mev_per_atom": 136, "formation_enthalpy_0k_kj_per_mol_atoms": 16.2, "final_energy_ev_per_atom": -1.19, "magmom_total_mub_per_cell": 0.00, "lattice": [[-5.0349, 5.0349, 4.0430], [5.0349, -5.0349, 4.0430], [5.0349, 5.0349, -4.0430]], "species": ["K", "K", "Na", "Na", "Na", "Na", "Sr", "Sr"], "frac_coords": [[0.0000, 0.0000, 0.0000], [0.7500, 0.2500, 0.5000], [0.1139, 0.6250, 0.9889], [0.3750, 0.3639, 0.4889], [0.6361, 0.1250, 0.0111], [0.8750, 0.8861, 0.5111], [0.2500, 0.7500, 0.5000], [0.5000, 0.5000, 0.0000]]}

[13]
{"formula": "HAuN", "functional": "GGA-PBE", "state": "relaxed", "mass_density_g_cm3": 7.50, "relative_energy_mev_per_atom": 14, "final_energy_ev_per_atom": -4.38, "magmom_total_mub_per_cell": 0.00, "lattice": [[3.6263, 0.0000, 0.0000], [0.0000, 3.8809, 0.0000], [-1.4318, 0.0000, 3.3367]], "species": ["H", "Au", "N"], "frac_coords": [[0.0000, 0.0000, 0.0000], [0.7755, 0.5000, 0.2094], [0.8229, 0.0000, 0.1652]]}

[14]
{"formula": "Ag5Sn2Cl12", "functional": "GGA-PBE", "state": "relaxed", "mass_density_g_cm3": 3.85, "final_energy_ev_per_atom": -2.93, "magmom_total_mub_per_cell": 0.00, "lattice": [[7.1231, -3.7929, 0.0000], [7.1231, 3.7929, 0.0000], [-2.6187, 0.0000, 9.5845]], "species": ["Ag", "Ag", "Ag", "Ag", "Ag", "Sn", "Sn", "Cl", "Cl", "Cl", "Cl", "Cl", "Cl", "Cl", "Cl", "Cl", "Cl", "Cl", "Cl"], "frac_coords": [[0.0000, 0.0000, 0.0000], [0.2837, 0.2837, 0.1066], [0.2911, 0.2911, 0.8005], [0.7089, 0.7089, 0.1995], [0.7163, 0.7163, 0.8934], [0.2522, 0.7478, 0.5000], [0.7478, 0.2522, 0.5000], [0.0520, 0.0520, 0.3541], [0.0770, 0.5824, 0.3352], [0.1087, 0.6246, 0.9643], [0.3754, 0.8913, 0.0357], [0.4176, 0.9230, 0.6648], [0.4444, 0.4444, 0.6574], [0.5556, 0.5556, 0.3426], [0.5824, 0.0770, 0.3352], [0.6246, 0.1087, 0.9643], [0.8913, 0.3754, 0.0357], [0.9230, 0.4176, 0.6648], [0.9480, 0.9480, 0.6459]]}

[15]
{"formula": "SiBiP", "functional": "GGA-PBE", "state": "relaxed", "mass_density_g_cm3": 5.26, "relative_energy_mev_per_atom": 93, "final_energy_ev_per_atom": -4.87, "magmom_total_mub_per_cell": 0.00, "lattice": [[3.4357, 0.0000, 0.0000], [-0.3429, 6.0737, 0.0000], [-1.6510, -1.6508, 8.1031]], "species": ["Si", "Si", "Bi", "Bi", "P", "P"], "frac_coords": [[0.1848, 0.0192, 0.3608], [0.8152, 0.9808, 0.6392], [0.0836, 0.2393, 0.1054], [0.9164, 0.7607, 0.8946], [0.3358, 0.2227, 0.6317], [0.6642, 0.7773, 0.3683]]}

[16]
{"formula": "HoNp4Sb5", "functional": "GGA-PBE", "state": "relaxed", "mass_density_g_cm3": 9.57, "final_energy_ev_per_atom": -8.05, "magmom_total_mub_per_cell": 0.06, "lattice": [[-2.1726, 3.1040, 11.0797], [2.1726, -3.1040, 11.0797], [2.1726, 3.1040, -11.0797]], "species": ["Ho", "Np", "Np", "Np", "Np", "Sb", "Sb", "Sb", "Sb", "Sb"], "frac_coords": [[0.0000, 0.0000, 0.0000], [0.2000, 0.2000, 0.0000], [0.4012, 0.4012, 0.0000], [0.5988, 0.5988, 0.0000], [0.8000, 0.8000, 0.0000], [0.0996, 0.5996, 0.5000], [0.3005, 0.8005, 0.5000], [0.5000, 0.0000, 0.5000], [0.6995, 0.1995, 0.5000], [0.9004, 0.4004, 0.5000]]}

[17]
{"formula": "PuScTiNb", "functional": "GGA-PBE", "state": "relaxed", "mass_density_g_cm3": 8.72, "formation_enthalpy_0k_kj_per_mol_atoms": 19.8, "final_energy_ev_per_atom": -9.45, "magmom_total_mub_per_cell": 5.76, "lattice": [[0.0000, 3.4458, 3.4458], [3.4458, 0.0000, 3.4458], [3.4458, 3.4458, 0.0000]], "species": ["Pu", "Sc", "Ti", "Nb"], "frac_coords": [[0.0000, 0.0000, 0.0000], [0.5000, 0.5000, 0.5000], [0.7500, 0.7500, 0.7500], [0.2500, 0.2500, 0.2500]]}

[18]
{"formula": "RbVBrCl2", "functional": "GGA-PBE", "state": "relaxed", "mass_density_g_cm3": 3.53, "final_energy_ev_per_atom": -4.41, "magmom_total_mub_per_cell": 3.00, "lattice": [[5.0285, 0.0000, 0.0000], [0.0000, 5.0285, 0.0000], [0.0000, 0.0000, 5.3360]], "species": ["Rb", "V", "Br", "Cl", "Cl"], "frac_coords": [[0.0000, 0.0000, 0.0000], [0.5000, 0.5000, 0.5000], [0.5000, 0.5000, 0.0000], [0.0000, 0.5000, 0.5000], [0.5000, 0.0000, 0.5000]]}